Entry 1:
A geometry-optimized BaMnOs2 structure, computed with GGA-PBE.

Values from the calculation:
Energy above the lowest structure with this stoichiometry ... 3.98 eV/f.u.
Total magnetic moment ... 3.98 μB/f.u.
Electronic total energy ... -0.51965 Ry/atom
Formation energy from the elements ... 1318 meV per atom

abc: 5.7472 5.7472 2.9368
angles: 77.47 77.47 121.14
Last column: nearest neighbours and their distance in Å.
Positions (direct):
Mn1 0.0000 0.5000 0.5000  4 Ba 2.82-3.05, 4 Os 2.93, 2 Mn 2.94
Ba1 0.5000 0.0000 0.5000  4 Mn 2.82-3.05, 4 Os 2.93, 2 Ba 2.94
Os1 0.5000 0.5000 0.0000  6 Os 2.82-3.05, 2 Mn 2.93, 2 Ba 2.93
Os2 0.0000 0.0000 0.0000  6 Os 2.82-3.05, 2 Ba 2.93, 2 Mn 2.93

---

Entry 2:
A geometry-optimized BaMnOs2 structure, computed with GGA-PBE.

Values from the calculation:
Energy above the lowest structure with this stoichiometry ... 2.29 eV/f.u.
Total magnetic moment ... 2.74 μB/f.u.
Electronic total energy ... -0.55061 Ry/atom
Formation energy from the elements ... 896 meV per atom

abc: 4.9469 4.9469 9.1642
angles: 74.34 74.34 90.00
Last column: nearest neighbours and their distance in Å.
Positions (direct):
Os1 0.3750 0.6250 0.2500  2 Mn 2.45, 2 Os 2.47
Os2 0.8750 0.6250 0.7500  2 Mn 2.45, 2 Os 2.47
Os3 0.3750 0.6250 0.7500  2 Mn 2.45, 2 Os 2.47
Os4 0.3750 0.1250 0.2500  2 Mn 2.45, 2 Os 2.47
Mn1 0.5000 0.5000 0.0000  4 Os 2.45
Mn2 0.2500 0.7500 0.5000  4 Os 2.45
Ba1 0.0000 0.0000 0.0000  8 Os 3.48, 4 Mn 3.50
Ba2 0.7500 0.2500 0.5000  8 Os 3.48, 4 Mn 3.50

---

Entry 3:
A geometry-optimized BaMnOs structure, computed with GGA-PBE.

Values from the calculation:
Energy above the lowest structure with this stoichiometry ... 1.79 eV/f.u.
Total magnetic moment ... 4.89 μB/f.u.
Electronic total energy ... -0.46132 Ry/atom
Formation energy from the elements ... 1164 meV per atom

abc: 4.7792 4.7792 4.7792
angles: 60.00 60.00 60.00
Last column: nearest neighbours and their distance in Å.
Positions (direct):
Mn1 0.5000 0.5000 0.5000  4 Os 2.93
Os1 0.7500 0.7500 0.7500  4 Ba 2.93, 4 Mn 2.93
Ba1 0.0000 0.0000 0.0000  4 Os 2.93

---

Entry 4:
A geometry-optimized BaMnOs2 structure, computed with GGA-PBE.

Values from the calculation:
Energy above the lowest structure with this stoichiometry ... 0.34 eV/f.u.
Total magnetic moment ... 1.64 μB/f.u.
Electronic total energy ... -0.58651 Ry/atom
Formation energy from the elements ... 408 meV per atom

abc: 4.2940 4.2940 6.4591
angles: 70.67 70.67 59.99
Last column: nearest neighbours and their distance in Å.
Positions (direct):
Os1 0.4365 0.4365 0.6902  3 Mn 2.50, 3 Os 2.58
Os2 0.0635 0.0635 0.8098  3 Mn 2.50, 3 Os 2.58
Ba1 0.2500 0.2500 0.2500  8 Os 3.34-3.61
Mn1 0.7500 0.7500 0.7500  6 Os 2.50

---

Entry 5:
A geometry-optimized Ba2MnOs structure, computed with GGA-PBE.

Values from the calculation:
Energy above the lowest structure with this stoichiometry ... 0.67 eV/f.u.
Total magnetic moment ... 3.16 μB/f.u.
Electronic total energy ... -0.40840 Ry/atom
Formation energy from the elements ... 505 meV per atom

abc: 4.3498 5.0591 6.3736
angles: 66.65 90.00 90.00
Last column: nearest neighbours and their distance in Å.
Positions (direct):
Mn1 0.0000 0.6623 0.5505  2 Os 2.34
Ba1 0.5000 0.2696 0.3357  2 Os 3.30, 4 Mn 3.56-3.57
Ba2 0.0000 0.9801 0.9148  2 Mn 3.31, 4 Os 3.57
Os1 0.5000 0.5881 0.6990  2 Mn 2.34

---

Entry 6:
A geometry-optimized BaMnOs2 structure, computed with GGA-PBE.

Values from the calculation:
Energy above the lowest structure with this stoichiometry ... 3.97 eV/f.u.
Total magnetic moment ... 2.52 μB/f.u.
Electronic total energy ... -0.51977 Ry/atom
Formation energy from the elements ... 1316 meV per atom

abc: 4.7391 4.7391 4.7391
angles: 120.03 120.03 89.94
Last column: nearest neighbours and their distance in Å.
Positions (direct):
Ba1 0.5000 0.5000 0.0000  4 Os 2.90, 4 Mn 2.90
Mn1 0.7500 0.2500 0.5000  4 Ba 2.90, 4 Os 2.90
Os1 0.2500 0.7500 0.5000  4 Ba 2.90, 4 Os 2.90
Os2 0.0000 0.0000 0.0000  4 Mn 2.90, 4 Os 2.90

---

Entry 7:
A geometry-optimized BaMnOs structure, computed with GGA-PBE.

Values from the calculation:
Energy above the lowest structure with this stoichiometry ... 0.31 eV/f.u.
Total magnetic moment ... 2.25 μB/f.u.
Electronic total energy ... -0.49775 Ry/atom
Formation energy from the elements ... 668 meV per atom

abc: 6.4308 6.4308 6.4308
angles: 152.74 146.39 43.80
Last column: nearest neighbours and their distance in Å.
Positions (direct):
Mn1 0.2787 0.2787 0.0000  4 Os 2.50
Os1 0.7183 0.7183 0.0000  4 Mn 2.50
Ba1 0.0030 0.0030 0.0000  2 Ba 3.03, 1 Mn 3.29

---

Entry 8:
A geometry-optimized Ba2MnOs structure, computed with GGA-PBE.

Values from the calculation:
Energy above the lowest structure with this stoichiometry ... 0.96 eV/f.u.
Total magnetic moment ... 3.63 μB/f.u.
Electronic total energy ... -0.40320 Ry/atom
Formation energy from the elements ... 575 meV per atom

abc: 3.5707 3.5724 9.5151
angles: 90.00 90.00 90.00
Last column: nearest neighbours and their distance in Å.
Positions (direct):
Ba1 0.0000 0.0000 0.9107  1 Mn 3.07
Ba2 0.5000 0.5000 0.3400  1 Os 3.05
Os1 0.5000 0.5000 0.6609  4 Mn 2.62
Mn1 0.0000 0.0000 0.5884  4 Os 2.62

---

Entry 9:
A geometry-optimized Ba2MnOs structure, computed with GGA-PBE.

Values from the calculation:
Energy above the lowest structure with this stoichiometry ... 2.56 eV/f.u.
Total magnetic moment ... 4.74 μB/f.u.
Electronic total energy ... -0.37368 Ry/atom
Formation energy from the elements ... 977 meV per atom

abc: 3.7552 3.7552 8.5797
angles: 90.00 90.00 90.00
Last column: nearest neighbours and their distance in Å.
Positions (direct):
Ba1 0.0000 0.0000 0.5343  4 Os 3.24, 4 Mn 3.61
Ba2 0.0000 0.0000 0.9657  4 Os 3.24, 4 Mn 3.61
Mn1 0.5000 0.5000 0.2500  8 Ba 3.61, 4 Mn 3.76
Os1 0.5000 0.5000 0.7500  8 Ba 3.24

---

Entry 10:
A geometry-optimized BaMnOs2 structure, computed with GGA-PBE.

Values from the calculation:
Energy above the lowest structure with this stoichiometry ... 2.74 eV/f.u.
Total magnetic moment ... 2.69 μB/f.u.
Electronic total energy ... -0.54242 Ry/atom
Formation energy from the elements ... 1008 meV per atom

abc: 9.9590 9.9590 9.9590
angles: 16.97 16.97 16.97
Last column: nearest neighbours and their distance in Å.
Positions (direct):
Mn1 0.7500 0.7500 0.7500  6 Os 2.56
Os1 0.0181 0.0181 0.0181  3 Mn 2.56
Os2 0.4819 0.4819 0.4819  3 Mn 2.56
Ba1 0.2500 0.2500 0.2500  6 Ba 2.94

---

Entry 11:
A geometry-optimized BaMnOs2 structure, computed with GGA-PBE.

Values from the calculation:
Energy above the lowest structure with this stoichiometry ... 1.27 eV/f.u.
Total magnetic moment ... 3.73 μB/f.u.
Electronic total energy ... -0.56933 Ry/atom
Formation energy from the elements ... 642 meV per atom

abc: 3.6987 2.9337 8.2611
angles: 69.23 90.00 90.00
Last column: nearest neighbours and their distance in Å.
Positions (direct):
Os1 0.0000 0.9832 0.0164  4 Os 2.60, 4 Mn 2.75
Os2 0.5000 0.3419 0.1579  1 Mn 2.50, 4 Os 2.60
Ba1 0.0000 0.5096 0.4915  2 Ba 2.93
Mn1 0.5000 0.6654 0.8342  5 Os 2.50-2.75

---

Entry 12:
A geometry-optimized Ba2MnOs structure, computed with GGA-PBE.

Values from the calculation:
Energy above the lowest structure with this stoichiometry ... 3.52 eV/f.u.
Total magnetic moment ... 4.36 μB/f.u.
Electronic total energy ... -0.35618 Ry/atom
Formation energy from the elements ... 1215 meV per atom

abc: 10.3266 10.3266 10.3266
angles: 21.17 21.17 21.17
Last column: nearest neighbours and their distance in Å.
Positions (direct):
Os1 0.7500 0.7500 0.7500  6 Ba 3.10
Ba1 0.0109 0.0109 0.0109  3 Os 3.10
Ba2 0.4891 0.4891 0.4891  3 Os 3.10
Mn1 0.2500 0.2500 0.2500  6 Ba 3.60, 6 Mn 3.79

---

Which of these has the lowest formation energy from the elements? number 4

---

Look up the formation energy from the elements of the second one. 896 meV per atom

---

electronic total energy of number 5 (Ba2MnOs)? -0.40840 Ry/atom